Entry 1:
VASP calculation (PBE) on a relaxed MgMnCl5 crystal.

Cell and atoms, written as CIF:
```
data_MgMnCl5
_cell_length_a 6.599
_cell_length_b 13.314
_cell_length_c 9.098
_cell_angle_alpha 90.00
_cell_angle_beta 109.82
_cell_angle_gamma 90.00
_space_group_name_H-M_alt 'C 1 2/c 1'
_space_group_IT_number 15
loop_
_space_group_symop_operation_xyz
'x,y,z'
'-x,-y,-z'
'-x,y,-z+1/2'
'x,-y,z+1/2'
'x+1/2,y+1/2,z'
'-x+1/2,-y+1/2,-z'
'-x+1/2,y+1/2,-z+1/2'
'x+1/2,-y+1/2,z+1/2'
loop_
_atom_site_label
_atom_site_type_symbol
_atom_site_fract_x
_atom_site_fract_y
_atom_site_fract_z
Mg1 Mg 0.000 0.023 0.250
Mn1 Mn 0.000 0.500 0.000
Cl1 Cl 0.000 0.430 0.250
Cl2 Cl 0.169 0.092 0.960
Cl3 Cl 0.204 0.365 0.628
```

Output
- ΔE_f (raw): -1264 meV per atom
- E_tot: -115.389 eV per cell
- Crystal system: monoclinic

***

Entry 2:
VASP calculation (PBE) on a relaxed MgMnCl2 crystal.

Cell and atoms, written as CIF:
```
data_MgMnCl2
_cell_length_a 3.750
_cell_length_b 5.620
_cell_length_c 9.084
_cell_angle_alpha 90.00
_cell_angle_beta 90.00
_cell_angle_gamma 90.00
_space_group_name_H-M_alt 'C m m 2'
_space_group_IT_number 35
loop_
_space_group_symop_operation_xyz
'x,y,z'
'-x,-y,z'
'-x,y,z'
'x,-y,z'
'x+1/2,y+1/2,z'
'-x+1/2,-y+1/2,z'
'-x+1/2,y+1/2,z'
'x+1/2,-y+1/2,z'
loop_
_atom_site_label
_atom_site_type_symbol
_atom_site_fract_x
_atom_site_fract_y
_atom_site_fract_z
Mg1 Mg 0.000 0.000 0.000
Mn1 Mn 0.000 0.500 0.256
Cl1 Cl 0.000 0.000 0.422
Cl2 Cl 0.000 0.500 0.833
```

Output
- ΔE_f (raw): -696 meV per atom
- E_tot: -34.482 eV per cell
- Crystal system: orthorhombic
- Energy above the most stable polymorph in this dataset: 0.00 eV per formula unit

***

Entry 3:
VASP calculation (PBE) on a relaxed MgMnCl3 crystal.

Cell and atoms, written as CIF:
```
data_MgMnCl3
_cell_length_a 5.003
_cell_length_b 5.003
_cell_length_c 5.003
_cell_angle_alpha 90.00
_cell_angle_beta 90.00
_cell_angle_gamma 90.00
_space_group_name_H-M_alt 'P m -3 m'
_space_group_IT_number 221
_space_group_name_Hall '-P 4 2 3'
loop_
_atom_site_label
_atom_site_type_symbol
_atom_site_fract_x
_atom_site_fract_y
_atom_site_fract_z
Mg1 Mg 0.000 0.000 0.000
Mn1 Mn 0.500 0.500 0.500
Cl1 Cl 0.000 0.500 0.500
```

Output
- ΔE_f (raw): -762 meV per atom
- E_tot: -20.115 eV per cell
- Crystal system: cubic
- Energy above the most stable polymorph in this dataset: 0.39 eV per formula unit

***

Entry 4:
VASP calculation (PBE) on a relaxed MgMnCl2 crystal.

Cell and atoms, written as CIF:
```
data_MgMnCl2
_cell_length_a 3.218
_cell_length_b 3.218
_cell_length_c 8.602
_cell_angle_alpha 90.00
_cell_angle_beta 90.00
_cell_angle_gamma 90.00
_space_group_name_H-M_alt 'P 4 m m'
_space_group_IT_number 99
loop_
_space_group_symop_operation_xyz
'x,y,z'
'-y,x,z'
'-x,-y,z'
'y,-x,z'
'-x,y,z'
'y,x,z'
'x,-y,z'
'-y,-x,z'
loop_
_atom_site_label
_atom_site_type_symbol
_atom_site_fract_x
_atom_site_fract_y
_atom_site_fract_z
Mg1 Mg 0.000 0.000 0.000
Mn1 Mn 0.500 0.500 0.263
Cl1 Cl 0.000 0.000 0.419
Cl2 Cl 0.500 0.500 0.840
```

Output
- ΔE_f (raw): -665 meV per atom
- E_tot: -17.118 eV per cell
- Crystal system: tetragonal
- Energy above the most stable polymorph in this dataset: 0.12 eV per formula unit

***

Entry 5:
VASP calculation (PBE) on a relaxed MgMn2Cl6 crystal.

Cell and atoms, written as CIF:
```
data_MgMn2Cl6
_cell_length_a 12.366
_cell_length_b 3.885
_cell_length_c 10.429
_cell_angle_alpha 90.00
_cell_angle_beta 95.99
_cell_angle_gamma 90.00
_space_group_name_H-M_alt 'C 1 2/m 1'
_space_group_IT_number 12
loop_
_space_group_symop_operation_xyz
'x,y,z'
'-x,-y,-z'
'-x,y,-z'
'x,-y,z'
'x+1/2,y+1/2,z'
'-x+1/2,-y+1/2,-z'
'-x+1/2,y+1/2,-z'
'x+1/2,-y+1/2,z'
loop_
_atom_site_label
_atom_site_type_symbol
_atom_site_fract_x
_atom_site_fract_y
_atom_site_fract_z
Mg1 Mg 0.000 0.000 0.000
Mn1 Mn 0.212 0.500 0.737
Cl1 Cl 0.099 0.000 0.216
Cl2 Cl 0.122 0.500 0.933
Cl3 Cl 0.155 0.000 0.618
```

Output
- ΔE_f (raw): -1291 meV per atom
- E_tot: -85.270 eV per cell
- Crystal system: monoclinic
- Energy above the most stable polymorph in this dataset: 0.10 eV per formula unit

***

Entry 6:
VASP calculation (PBE) on a relaxed NaMgMnCl5 crystal.

Cell and atoms, written as CIF:
```
data_NaMgMnCl5
_cell_length_a 8.354
_cell_length_b 11.416
_cell_length_c 9.310
_cell_angle_alpha 90.00
_cell_angle_beta 112.91
_cell_angle_gamma 90.00
_space_group_name_H-M_alt 'C 1 2/c 1'
_space_group_IT_number 15
loop_
_space_group_symop_operation_xyz
'x,y,z'
'-x,-y,-z'
'-x,y,-z+1/2'
'x,-y,z+1/2'
'x+1/2,y+1/2,z'
'-x+1/2,-y+1/2,-z'
'-x+1/2,y+1/2,-z+1/2'
'x+1/2,-y+1/2,z+1/2'
loop_
_atom_site_label
_atom_site_type_symbol
_atom_site_fract_x
_atom_site_fract_y
_atom_site_fract_z
Na1 Na 0.000 0.167 0.250
Mg1 Mg 0.000 0.500 0.000
Mn1 Mn 0.000 0.185 0.750
Cl1 Cl 0.000 0.417 0.250
Cl2 Cl 0.129 0.304 0.619
Cl3 Cl 0.184 0.057 0.941
```

Output
- ΔE_f (raw): -1518 meV per atom
- E_tot: -133.846 eV per cell
- Crystal system: monoclinic

***

| no. | size of the total moment (Bohr magnetons per cell) |
| --- | --- |
| 1 | 16.00 |
| 2 | 8.97 |
| 3 | 5.93 |
| 4 | 4.34 |
| 5 | 20.00 |
| 6 | 20.00 |